! GGA-PBE Tl2RhIO6, relaxed; values from VASP
&SYSTEM
  ibrav = 0, nat = 20, ntyp = 4
/
ATOMIC_SPECIES
Tl 204.38 Tl.upf
Rh 102.91 Rh.upf
I 126.90 I.upf
O 16.00 O.upf
ATOMIC_POSITIONS angstrom
Tl 0.000 0.000 3.608
Tl 0.000 0.000 8.451
Tl 0.000 0.000 21.199
Tl 0.000 0.000 26.042
Rh 0.000 0.000 12.078
Rh 0.000 0.000 17.571
I 0.000 0.000 0.000
I 0.000 0.000 14.825
O -1.283 -0.741 13.549
O 0.000 -1.774 11.076
O -1.536 0.887 11.076
O -1.536 -0.887 18.573
O 0.000 -1.482 16.100
O -1.283 0.741 16.100
O 1.283 -0.741 13.549
O 0.000 1.482 13.549
O 1.536 0.887 11.076
O 1.536 -0.887 18.573
O 0.000 1.774 18.573
O 1.283 0.741 16.100
CELL_PARAMETERS angstrom
3.008 1.737 9.883
-3.008 1.737 9.883
0.000 -3.474 9.883
! - VASP energy: -94.96 eV/cell
! - ΔE_f (raw): -410 meV per atom
! - Space group: R-3m (166)

=====

! GGA-PBE TlRhIO2, relaxed; values from VASP
&SYSTEM
  ibrav = 0, nat = 5, ntyp = 4
/
ATOMIC_SPECIES
Tl 204.38 Tl.upf
Rh 102.91 Rh.upf
I 126.90 I.upf
O 16.00 O.upf
ATOMIC_POSITIONS angstrom
Tl 0.000 0.000 0.000
Rh 2.107 2.107 2.771
I 2.107 2.107 0.000
O 0.000 2.107 2.771
O 2.107 0.000 2.771
CELL_PARAMETERS angstrom
4.214 0.000 0.000
0.000 4.214 0.000
0.000 0.000 5.543
! - VASP energy: -21.21 eV/cell
! - ΔE_f (raw): -5 meV per atom
! - Space group: P4/mmm (123)
! - Energy above the most stable polymorph in this dataset: 0.0 meV/atom

=====

! GGA-PBE TlRhIO6, relaxed; values from VASP
&SYSTEM
  ibrav = 0, nat = 9, ntyp = 4
/
ATOMIC_SPECIES
Tl 204.38 Tl.upf
Rh 102.91 Rh.upf
I 126.90 I.upf
O 16.00 O.upf
ATOMIC_POSITIONS angstrom
Tl 0.000 0.000 0.000
Rh 0.000 3.051 2.798
I 2.642 1.525 2.798
O 1.987 0.036 3.902
O 1.025 1.703 1.693
O 3.297 0.036 1.693
O 1.679 2.837 3.902
O 4.259 1.703 3.902
O 3.605 2.837 1.693
CELL_PARAMETERS angstrom
5.284 0.000 0.000
-2.642 4.576 0.000
0.000 0.000 5.595
! - VASP energy: -45.59 eV/cell
! - ΔE_f (raw): -508 meV per atom
! - Space group: P312 (149)

=====

! GGA-PBE TlRhIO2, relaxed; values from VASP
&SYSTEM
  ibrav = 0, nat = 5, ntyp = 4
/
ATOMIC_SPECIES
Tl 204.38 Tl.upf
Rh 102.91 Rh.upf
I 126.90 I.upf
O 16.00 O.upf
ATOMIC_POSITIONS angstrom
Tl 0.000 0.000 0.000
Rh 2.041 2.041 3.500
I 0.000 0.000 3.500
O 0.000 2.041 0.000
O 2.041 0.000 0.000
CELL_PARAMETERS angstrom
4.082 0.000 0.000
0.000 4.082 0.000
0.000 0.000 7.000
! - VASP energy: -18.59 eV/cell
! - ΔE_f (raw): 518 meV per atom
! - Space group: P4/mmm (123)
! - Energy above the most stable polymorph in this dataset: 523.5 meV/atom

=====

! GGA-PBE TmRhIO6, relaxed; values from VASP
&SYSTEM
  ibrav = 0, nat = 18, ntyp = 4
/
ATOMIC_SPECIES
Tm 168.93 Tm.upf
Rh 102.91 Rh.upf
I 126.90 I.upf
O 16.00 O.upf
ATOMIC_POSITIONS angstrom
Tm 0.000 3.163 2.174
Tm 2.739 1.581 6.522
Rh 0.000 0.000 0.000
Rh 0.000 0.000 4.348
I 0.000 3.163 6.522
I 2.739 1.581 2.174
O -0.815 1.581 5.416
O -1.777 3.248 7.628
O 0.815 1.581 7.628
O -0.963 4.660 5.416
O 1.777 0.085 1.068
O 0.962 1.496 3.280
O 1.777 3.248 5.416
O 0.963 4.660 7.628
O 3.702 0.085 3.280
O 1.924 3.163 1.068
O 4.517 1.496 1.068
O 3.554 3.163 3.280
CELL_PARAMETERS angstrom
5.478 0.000 0.000
-2.739 4.744 0.000
0.000 0.000 8.696
! - VASP energy: -106.29 eV/cell
! - ΔE_f (raw): -1113 meV per atom
! - Space group: P-31c (163)

=====

! GGA-PBE URhIO6, relaxed; values from VASP
&SYSTEM
  ibrav = 0, nat = 18, ntyp = 4
/
ATOMIC_SPECIES
U 238.03 U.upf
Rh 102.91 Rh.upf
I 126.90 I.upf
O 16.00 O.upf
ATOMIC_POSITIONS angstrom
U 0.000 3.244 2.243
U 2.809 1.622 6.730
Rh 0.000 0.000 0.000
Rh 0.000 0.000 4.487
I 0.000 3.244 6.730
I 2.809 1.622 2.243
O -0.934 1.637 1.147
O -1.858 3.239 3.340
O 0.934 1.637 3.340
O -0.924 4.856 1.147
O 1.885 0.010 5.633
O 0.951 1.628 7.826
O 1.858 3.239 1.147
O 0.924 4.856 3.340
O 3.734 0.010 7.826
O 1.876 3.229 5.633
O 4.668 1.628 5.633
O 3.743 3.229 7.826
CELL_PARAMETERS angstrom
5.619 0.000 0.000
-2.809 4.866 0.000
0.000 0.000 8.973
! - VASP energy: -121.38 eV/cell
! - ΔE_f (raw): -1195 meV per atom
! - Space group: P-31c (163)